# 1
Pr3Dy3Tl5 (GGA-PBE, optimized geometry); V = 431.54 Å³ per cell; space group = P-62m; energy = -37.135 eV/cell; N(E_F) = 10.866 states/eV per cell
1.0
9.3158 0.0000 0.0000
-4.6579 8.0677 0.0000
0.0000 0.0000 5.7418
Pr Dy Tl
3 3 5
Cartesian
-2.6289 4.5534 0.0000 Pr
2.0290 3.5143 0.0000 Pr
5.2578 0.0000 0.0000 Pr
-1.4770 2.5583 2.8709 Dy
2.9541 0.0000 2.8709 Dy
3.1809 5.5094 2.8709 Dy
-3.1866 5.5194 2.8709 Tl
1.4713 2.5483 2.8709 Tl
0.0000 5.3785 2.8709 Tl
4.6579 2.6892 2.8709 Tl
6.3732 0.0000 2.8709 Tl

=====

# 2
ZrHg2Rh (GGA-PBE, optimized geometry); V = 76.75 Å³ per cell; space group = Immm; energy relative to the lowest polymorph listed for this composition = 0.099 eV per atom; energy = -17.155 eV/cell; N(E_F) = 3.233 states/eV per cell
1.0
-2.1265 2.1413 4.2136
2.1265 -2.1413 4.2136
2.1265 2.1413 -4.2136
Zr Hg Rh
1 2 1
Cartesian
0.0000 0.0000 0.0000 Zr
2.1265 0.0000 2.1100 Hg
0.0000 2.1413 2.1036 Hg
0.0000 0.0000 4.2136 Rh

=====

# 3
Zn2SiIr (GGA-PBE, optimized geometry); V = 60.20 Å³ per cell; space group = P4mm; energy = -17.254 eV/cell; N(E_F) = 1.435 states/eV per cell
1.0
2.8602 0.0000 0.0000
0.0000 2.8602 0.0000
0.0000 0.0000 7.3586
Zn Si Ir
2 1 1
Cartesian
0.0000 0.0000 0.0000 Zn
1.4301 1.4301 2.0389 Zn
1.4301 1.4301 5.3554 Si
0.0000 0.0000 3.9273 Ir

=====

# 4
TmZnNiRu (GGA-PBE, optimized geometry); V = 62.93 Å³ per cell; space group = F-43m; energy = -21.723 eV/cell; N(E_F) = 2.731 states/eV per cell
1.0
0.0000 3.1571 3.1571
3.1571 0.0000 3.1571
3.1571 3.1571 0.0000
Tm Zn Ni Ru
1 1 1 1
Cartesian
0.0000 0.0000 0.0000 Tm
3.1571 3.1571 3.1571 Zn
4.7356 4.7356 4.7356 Ni
1.5785 1.5785 1.5785 Ru

=====

# 5
Ba2SrRh (GGA-PBE, optimized geometry); V = 189.32 Å³ per cell; space group = R-3m; energy relative to the lowest polymorph listed for this composition = 0.132 eV per atom; energy = -13.153 eV/cell; N(E_F) = 3.145 states/eV per cell
1.0
2.2254 1.2848 11.0351
-2.2254 1.2848 11.0351
0.0000 -2.5697 11.0351
Ba Sr Rh
2 1 1
Cartesian
0.0000 0.0000 7.2156 Ba
0.0000 0.0000 25.8899 Ba
0.0000 0.0000 0.0000 Sr
0.0000 0.0000 16.5527 Rh

=====

# 6
CsCeSe2O8 (GGA-PBE, optimized geometry); V = 262.92 Å³ per cell; space group = P-3; energy = -71.650 eV/cell; N(E_F) = 6.834 states/eV per cell
1.0
5.7630 0.0000 0.0000
-2.8815 4.9909 0.0000
0.0000 0.0000 9.1410
Cs Ce Se O
1 1 2 8
Cartesian
0.0000 0.0000 0.0000 Cs
0.0000 0.0000 4.5705 Ce
0.0000 3.3273 6.6324 Se
2.8815 1.6636 2.5086 Se
-0.3882 1.7954 6.0360 O
-1.1325 4.4294 6.0360 O
0.0000 3.3273 8.2778 O
1.3608 1.2339 3.1050 O
1.5207 3.7570 6.0360 O
2.8815 1.6636 0.8632 O
4.0140 0.5615 3.1050 O
3.2697 3.1955 3.1050 O